{
  "formula": "ScTe2",
  "functional": "PBE",
  "state": "optimized geometry",
  "raw_formation_energy_mev_per_atom": -788,
  "magnetic_moment_mub_per_cell": 0.0,
  "lattice": [[-1.8566, 1.8566, 5.8516], [1.8566, -1.8566, 5.8516], [1.8566, 1.8566, -5.8516]],
  "species": ["Sc", "Te", "Te"],
  "fractional_positions": [[0.5000, 0.5000, 0.0000], [0.1377, 0.1377, 0.0000], [0.8623, 0.8623, 0.0000]]
}